No. 1
The following is a DFT calculation (PBE-GGA) of an optimized crystal structure of Pm2PuSbN5.

Cell lengths 7.3611, 7.3611, 10.6212 Å; angles 90.00, 90.00, 152.55 degrees
Sites, in units of the cell vectors:
Pm1 0.1144 0.8856 0.5000
Pm2 0.1372 0.8628 0.0901
Pm3 0.8628 0.1372 0.5901
Pm4 0.8856 0.1144 0.0000
Pu1 0.2156 0.7844 0.8081
Pu2 0.7844 0.2156 0.3081
Sb1 0.4846 0.5154 0.2716
Sb2 0.5154 0.4846 0.7716
N1 0.0516 0.9484 0.8660
N2 0.2833 0.7167 0.4474
N3 0.3090 0.6910 0.1738
N4 0.3734 0.6266 0.8117
N5 0.4944 0.5056 0.5831
N6 0.5056 0.4944 0.0831
N7 0.6266 0.3734 0.3117
N8 0.6910 0.3090 0.6738
N9 0.7167 0.2833 0.9474
N10 0.9484 0.0516 0.3660

* volume: 265.3 Å³ per cell
* DOS(E_F): 0.7499 states/eV per atom
* formation energy from raw total energies: -0.7434 eV per atom

No. 2
The following is a DFT calculation (PBE-GGA) of an optimized crystal structure of Ca2TbPr2.

Cell lengths 3.7139, 3.7139, 15.5585 Å; angles 90.00, 90.00, 120.00 degrees
Sites, in units of the cell vectors:
Ca1 0.3333 0.6667 0.1059
Ca2 0.6667 0.3333 0.8941
Tb1 0.0000 0.0000 0.5000
Pr1 0.3333 0.6667 0.6857
Pr2 0.6667 0.3333 0.3143

* volume: 185.8 Å³ per cell
* excess energy over the best structure of this formula in the dataset: 0.0 meV/atom
* DOS(E_F): 1.2907 states/eV per atom
* formation energy: 0.0289 eV per atom

No. 3
The following is a DFT calculation (PBE-GGA) of an optimized crystal structure of LiAgSe2.

Cell lengths 7.7773, 7.3928, 2.9609 Å; angles 90.00, 106.79, 90.00 degrees
Sites, in units of the cell vectors:
Li1 0.0000 0.0000 0.0000
Li2 0.5000 0.5000 0.0000
Ag1 0.0000 0.5000 0.0000
Ag2 0.5000 0.0000 0.0000
Se1 0.2500 0.2500 0.0000
Se2 0.2500 0.7500 0.0000
Se3 0.7500 0.2500 0.0000
Se4 0.7500 0.7500 0.0000

* volume: 163.0 Å³ per cell
* excess energy over the best structure of this formula in the dataset: 89.7 meV/atom
* DOS(E_F): 0.6065 states/eV per atom
* formation energy from raw total energies: -0.3392 eV per atom

No. 4
The following is a DFT calculation (PBE-GGA) of an optimized crystal structure of Sm3Er13.

Cell lengths 7.2200, 8.3835, 8.3835 Å; angles 83.79, 90.00, 90.00 degrees
Sites, in units of the cell vectors:
Sm1 0.0000 0.0000 0.0000
Sm2 0.2513 0.7473 0.7473
Sm3 0.7487 0.7473 0.7473
Er1 0.0000 0.4145 0.9168
Er2 0.0000 0.4972 0.4972
Er3 0.0000 0.9168 0.4145
Er4 0.2502 0.2495 0.2495
Er5 0.2509 0.1679 0.6635
Er6 0.2509 0.6635 0.1679
Er7 0.5000 0.9999 0.9999
Er8 0.5000 0.4130 0.9182
Er9 0.5000 0.4972 0.4972
Er10 0.5000 0.9182 0.4130
Er11 0.7491 0.1679 0.6635
Er12 0.7491 0.6635 0.1679
Er13 0.7498 0.2495 0.2495

* volume: 504.5 Å³ per cell
* excess energy over the best structure of this formula in the dataset: 0.0 meV/atom
* DOS(E_F): 1.7413 states/eV per atom
* formation energy: 0.0065 eV per atom

No. 5
The following is a DFT calculation (PBE-GGA) of an optimized crystal structure of La2TaSi.

Cell lengths 3.3241, 4.2866, 7.0888 Å; angles 90.00, 90.00, 90.00 degrees
Sites, in units of the cell vectors:
La1 0.0000 0.0000 0.2324
La2 0.0000 0.0000 0.7676
Ta1 0.5000 0.5000 0.5000
Si1 0.5000 0.5000 0.0000

* volume: 101.0 Å³ per cell
* DOS(E_F): 1.3172 states/eV per atom
* formation energy from raw total energies: 0.1935 eV per atom

No. 6
The following is a DFT calculation (PBE-GGA) of an optimized crystal structure of Hf5BS5.

Cell lengths 6.2500, 6.2500, 7.2581 Å; angles 106.75, 106.75, 47.57 degrees
Sites, in units of the cell vectors:
Hf1 0.0000 0.0000 0.0000
Hf2 0.3474 0.3474 0.1462
Hf3 0.3541 0.3541 0.7018
Hf4 0.6459 0.6459 0.2982
Hf5 0.6526 0.6526 0.8538
B1 0.5000 0.5000 0.0000
S1 0.1613 0.1613 0.8185
S2 0.1732 0.1732 0.3346
S3 0.5000 0.5000 0.5000
S4 0.8268 0.8268 0.6654
S5 0.8387 0.8387 0.1815

* volume: 198.6 Å³ per cell
* DOS(E_F): 0.1513 states/eV per atom
* formation energy from raw total energies: -1.4052 eV per atom

No. 7
The following is a DFT calculation (PBE-GGA) of an optimized crystal structure of Pm2GaSn3.

Cell lengths 8.0986, 8.0986, 5.7354 Å; angles 90.00, 90.00, 70.77 degrees
Sites, in units of the cell vectors:
Pm1 0.0434 0.6659 0.7500
Pm2 0.3341 0.9566 0.7500
Pm3 0.6659 0.0434 0.2500
Pm4 0.9566 0.3341 0.2500
Ga1 0.3681 0.6319 0.2500
Ga2 0.6319 0.3681 0.7500
Sn1 0.0821 0.9179 0.2500
Sn2 0.3282 0.3282 0.0000
Sn3 0.3282 0.3282 0.5000
Sn4 0.6718 0.6718 0.0000
Sn5 0.6718 0.6718 0.5000
Sn6 0.9179 0.0821 0.7500

* volume: 355.2 Å³ per cell
* DOS(E_F): 0.4860 states/eV per atom
* formation energy: -0.3000 eV per atom

No. 8
The following is a DFT calculation (PBE-GGA) of an optimized crystal structure of CeGaOs.

Cell lengths 7.2769, 4.6753, 6.9609 Å; angles 90.00, 90.00, 90.00 degrees
Sites, in units of the cell vectors:
Ce1 0.0324 0.2500 0.1881
Ce2 0.4676 0.7500 0.6881
Ce3 0.5324 0.2500 0.3119
Ce4 0.9676 0.7500 0.8119
Ga1 0.1969 0.2500 0.6144
Ga2 0.3031 0.7500 0.1144
Ga3 0.6969 0.2500 0.8856
Ga4 0.8031 0.7500 0.3856
Os1 0.1532 0.7500 0.4524
Os2 0.3468 0.2500 0.9524
Os3 0.6532 0.7500 0.0476
Os4 0.8468 0.2500 0.5476

* volume: 236.8 Å³ per cell
* DOS(E_F): 0.9759 states/eV per atom
* formation energy: -0.4102 eV per atom